## ZnMoRu2 (GGA-PBE)

Data for a relaxed structure of ZnMoRu2.

Output
Formation enthalpy at 0 K (kJ/mol of formula units): 224
Energy (eV/cell): -56.67
Symmetry: Immm, No. 71
Crystal system: orthorhombic

Unit cell a=2.671 b=4.634 c=10.410 alpha=90.00 beta=90.00 gamma=90.00
Positions (direct):
Zn: 0.000 0.000 0.000
Zn: 0.500 0.500 0.500
Mo: 0.000 0.000 0.500
Mo: 0.500 0.500 0.000
Ru: 0.000 0.000 0.273
Ru: 0.000 0.000 0.727
Ru: 0.500 0.500 0.227
Ru: 0.500 0.500 0.773